(1)
VASP calculation (PBE) on a geometry-optimized LiBeB structure.

Lattice parameters (Å, degrees): 3.407 4.408 4.862 65.12 69.76 67.34
Space group P-1 (No. 2)
Unique sites:
Li (0.103, 0.124, 0.172) [2 per cell]
Be (0.233, 0.426, 0.609) [2 per cell]
B (0.404, 0.520, 0.174) [2 per cell]

Summary:
Crystal system ... triclinic
Density of states at the Fermi level ... 0.77 states/eV per cell
Excess energy over the best structure of this formula in the dataset ... 146.4 meV/atom
DFT total energy ... -4.08 eV per atom

(2)
VASP calculation (PBE) on a geometry-optimized LiBeB5 structure.

Lattice parameters (Å, degrees): 3.391 4.452 8.733 90.05 90.15 101.60
Space group P-1 (No. 2)
Unique sites:
Li (0.000, 0.000, 0.000) [1 per cell]
Li (0.000, 0.500, 0.500) [1 per cell]
Be (0.001, 0.000, 0.365) [2 per cell]
B (0.162, 0.672, 0.217) [2 per cell]
B (0.162, 0.672, 0.783) [2 per cell]
B (0.330, 0.334, 0.727) [2 per cell]
B (0.332, 0.334, 0.273) [2 per cell]
B (0.500, 0.000, 0.218) [2 per cell]

Summary:
Crystal system ... triclinic
Density of states at the Fermi level ... 0.83 states/eV per cell
DFT total energy ... -5.43 eV per atom

(3)
VASP calculation (PBE) on a geometry-optimized Li2MnBeB structure.

Lattice parameters (Å, degrees): 4.638 4.638 3.824 90.00 90.00 90.00
Space group P4/mmm (No. 123)
Unique sites:
Li (0.000, 0.500, 0.000) [2 per cell]
Mn (0.000, 0.000, 0.000) [1 per cell]
Be (0.500, 0.500, 0.500) [1 per cell]
B (0.000, 0.000, 0.500) [1 per cell]

Summary:
Crystal system ... tetragonal
Density of states at the Fermi level ... 2.48 states/eV per cell
DFT total energy ... -3.51 eV per atom

(4)
VASP calculation (PBE) on a geometry-optimized NaLiBeB2 structure.

Lattice parameters (Å, degrees): 3.871 3.871 3.951 90.00 90.00 90.00
Space group P4/mmm (No. 123)
Unique sites:
Na (0.000, 0.000, 0.000) [1 per cell]
Li (0.500, 0.500, 0.500) [1 per cell]
Be (0.500, 0.500, 0.000) [1 per cell]
B (0.000, 0.500, 0.500) [2 per cell]

Summary:
Crystal system ... tetragonal
Density of states at the Fermi level ... 1.47 states/eV per cell
DFT total energy ... -2.59 eV per atom

(5)
VASP calculation (PBE) on a geometry-optimized Li2BeNi5B2 structure.

Lattice parameters (Å, degrees): 8.549 8.549 2.640 90.00 90.00 90.00
Space group P4/mbm (No. 127)
Unique sites:
Li (0.175, 0.325, 0.000) [4 per cell]
Be (0.000, 0.000, 0.000) [2 per cell]
Ni (0.000, 0.500, 0.500) [2 per cell]
Ni (0.069, 0.794, 0.500) [8 per cell]
B (0.128, 0.628, 0.000) [4 per cell]

Summary:
Crystal system ... tetragonal
Density of states at the Fermi level ... 9.74 states/eV per cell
DFT total energy ... -5.29 eV per atom

(6)
VASP calculation (PBE) on a geometry-optimized LiBe2BO4 structure.

Lattice parameters (Å, degrees): 4.002 4.002 7.131 90.00 90.00 90.00
Space group I-42m (No. 121)
Unique sites:
Li (0.000, 0.000, 0.000) [2 per cell]
Be (0.000, 0.500, 0.250) [4 per cell]
B (0.000, 0.000, 0.500) [2 per cell]
O (0.210, 0.210, 0.373) [8 per cell]

Summary:
Crystal system ... tetragonal
ΔE_f (raw) ... -2532 meV/atom
Density of states at the Fermi level ... 0.00 states/eV per cell
DFT total energy ... -7.02 eV per atom

(7)
VASP calculation (PBE) on a geometry-optimized LiBeBO3 structure.

Lattice parameters (Å, degrees): 4.639 4.708 5.984 68.27 72.59 61.19
Space group P-1 (No. 2)
Unique sites:
Li (0.244, 0.133, 0.161) [2 per cell]
Be (0.143, 0.274, 0.655) [2 per cell]
B (0.430, 0.598, 0.729) [2 per cell]
O (0.173, 0.902, 0.739) [2 per cell]
O (0.243, 0.423, 0.344) [2 per cell]
O (0.373, 0.313, 0.793) [2 per cell]

Summary:
Crystal system ... triclinic
ΔE_f (raw) ... -2510 meV/atom
Density of states at the Fermi level ... 0.00 states/eV per cell
DFT total energy ... -7.04 eV per atom

(8)
VASP calculation (PBE) on a geometry-optimized LiBeBOs2 structure.

Lattice parameters (Å, degrees): 4.080 4.080 3.588 90.00 90.00 90.00
Space group P4/mmm (No. 123)
Unique sites:
Li (0.000, 0.000, 0.000) [1 per cell]
Be (0.500, 0.500, 0.000) [1 per cell]
B (0.500, 0.500, 0.500) [1 per cell]
Os (0.000, 0.500, 0.500) [2 per cell]

Summary:
Crystal system ... tetragonal
Density of states at the Fermi level ... 4.35 states/eV per cell
DFT total energy ... -6.63 eV per atom

(9)
VASP calculation (PBE) on a geometry-optimized Li2BeB2Pd5 structure.

Lattice parameters (Å, degrees): 9.284 9.284 2.863 90.00 90.00 90.00
Space group P4/mbm (No. 127)
Unique sites:
Li (0.174, 0.326, 0.000) [4 per cell]
Be (0.000, 0.000, 0.000) [2 per cell]
B (0.131, 0.631, 0.000) [4 per cell]
Pd (0.000, 0.500, 0.500) [2 per cell]
Pd (0.073, 0.795, 0.500) [8 per cell]

Summary:
Crystal system ... tetragonal
Density of states at the Fermi level ... 7.47 states/eV per cell
DFT total energy ... -5.11 eV per atom

(10)
VASP calculation (PBE) on a geometry-optimized LiBeBPt structure.

Lattice parameters (Å, degrees): 5.418 5.418 5.418 90.00 90.00 90.00
Space group F-43m (No. 216)
Unique sites:
Li (0.000, 0.000, 0.000) [4 per cell]
Be (0.250, 0.250, 0.750) [4 per cell]
B (0.250, 0.250, 0.250) [4 per cell]
Pt (0.000, 0.000, 0.500) [4 per cell]

Summary:
Crystal system ... cubic
Density of states at the Fermi level ... 5.95 states/eV per cell
DFT total energy ... -4.79 eV per atom

(11)
VASP calculation (PBE) on a geometry-optimized Li2BeB2Pt5 structure.

Lattice parameters (Å, degrees): 9.398 9.398 2.833 90.00 90.00 90.00
Space group P4/mbm (No. 127)
Unique sites:
Li (0.175, 0.325, 0.000) [4 per cell]
Be (0.000, 0.000, 0.000) [2 per cell]
B (0.131, 0.631, 0.000) [4 per cell]
Pt (0.000, 0.500, 0.500) [2 per cell]
Pt (0.072, 0.796, 0.500) [8 per cell]

Summary:
Crystal system ... tetragonal
Density of states at the Fermi level ... 4.97 states/eV per cell
DFT total energy ... -5.69 eV per atom

(12)
VASP calculation (PBE) on a geometry-optimized Li2BeB2Rh5 structure.

Lattice parameters (Å, degrees): 9.091 9.091 2.824 90.00 90.00 90.00
Space group P4/mbm (No. 127)
Unique sites:
Li (0.173, 0.327, 0.000) [4 per cell]
Be (0.000, 0.000, 0.000) [2 per cell]
B (0.131, 0.631, 0.000) [4 per cell]
Rh (0.000, 0.500, 0.500) [2 per cell]
Rh (0.072, 0.796, 0.500) [8 per cell]

Summary:
Crystal system ... tetragonal
Density of states at the Fermi level ... 14.10 states/eV per cell
DFT total energy ... -6.22 eV per atom